Record 1
# BeBiMo2S PBE-GGA optimized geometry
# crystal system	tetragonal
# total DFT energy (no corrections)	-5.4794	eV/atom
# ΔE_f (raw)	1200.0	meV/atom
data_BeBiMo2S
_chemical_formula_sum 'Be1 Bi1 Mo2 S1'
_symmetry_space_group_name_H-M 'P 4/m m m'
_symmetry_Int_Tables_number 123
_symmetry_space_group_name_Hall '-P 4 2'
_cell_length_a 4.4966
_cell_length_b 4.4966
_cell_length_c 4.4179
_cell_angle_alpha 90.00
_cell_angle_beta 90.00
_cell_angle_gamma 90.00
loop_
_atom_site_label
_atom_site_fract_x
_atom_site_fract_y
_atom_site_fract_z
Be1 0.0000 0.0000 0.0000
Bi1 0.0000 0.0000 0.5000
Mo1 0.0000 0.5000 0.0000
S1 0.5000 0.5000 0.5000

=====

Record 2
# Be2BiSbMo PBE-GGA optimized geometry
# crystal system	tetragonal
# total DFT energy (no corrections)	-4.0157	eV/atom
# ΔE_f (raw)	1241.6	meV/atom
data_Be2BiSbMo
_chemical_formula_sum 'Be2 Bi1 Sb1 Mo1'
_symmetry_space_group_name_H-M 'P 4/m m m'
_symmetry_Int_Tables_number 123
_symmetry_space_group_name_Hall '-P 4 2'
_cell_length_a 4.5432
_cell_length_b 4.5432
_cell_length_c 5.4641
_cell_angle_alpha 90.00
_cell_angle_beta 90.00
_cell_angle_gamma 90.00
loop_
_atom_site_label
_atom_site_fract_x
_atom_site_fract_y
_atom_site_fract_z
Be1 0.0000 0.5000 0.0000
Bi1 0.0000 0.0000 0.5000
Sb1 0.5000 0.5000 0.0000
Mo1 0.5000 0.5000 0.5000

=====

Record 3
# BeBiMoSe2 PBE-GGA optimized geometry
# crystal system	tetragonal
# total DFT energy (no corrections)	-3.7833	eV/atom
# ΔE_f (raw)	1298.1	meV/atom
data_BeBiMoSe2
_chemical_formula_sum 'Be1 Bi1 Mo1 Se2'
_symmetry_space_group_name_H-M 'P 4/m m m'
_symmetry_Int_Tables_number 123
_symmetry_space_group_name_Hall '-P 4 2'
_cell_length_a 5.6248
_cell_length_b 5.6248
_cell_length_c 4.5218
_cell_angle_alpha 90.00
_cell_angle_beta 90.00
_cell_angle_gamma 90.00
loop_
_atom_site_label
_atom_site_fract_x
_atom_site_fract_y
_atom_site_fract_z
Be1 0.0000 0.0000 0.0000
Bi1 0.0000 0.0000 0.5000
Mo1 0.5000 0.5000 0.0000
Se1 0.0000 0.5000 0.5000

=====

Record 4
# BeSnBi2Mo PBE-GGA optimized geometry
# crystal system	tetragonal
# total DFT energy (no corrections)	-3.5224	eV/atom
# DFT formation energy	1.742	eV per atom
data_BeSnBi2Mo
_chemical_formula_sum 'Be1 Sn1 Bi2 Mo1'
_symmetry_space_group_name_H-M 'P 4/m m m'
_symmetry_Int_Tables_number 123
_symmetry_space_group_name_Hall '-P 4 2'
_cell_length_a 5.7920
_cell_length_b 5.7920
_cell_length_c 5.2511
_cell_angle_alpha 90.00
_cell_angle_beta 90.00
_cell_angle_gamma 90.00
loop_
_atom_site_label
_atom_site_fract_x
_atom_site_fract_y
_atom_site_fract_z
Be1 0.0000 0.0000 0.0000
Sn1 0.5000 0.5000 0.5000
Bi1 0.0000 0.5000 0.5000
Mo1 0.5000 0.5000 0.0000

=====

Record 5
# Be2TcBiMo PBE-GGA optimized geometry
# crystal system	tetragonal
# total DFT energy (no corrections)	-5.2470	eV/atom
# DFT formation energy	1.259	eV per atom
data_Be2TcBiMo
_chemical_formula_sum 'Be2 Tc1 Bi1 Mo1'
_symmetry_space_group_name_H-M 'P 4/m m m'
_symmetry_Int_Tables_number 123
_symmetry_space_group_name_Hall '-P 4 2'
_cell_length_a 4.2803
_cell_length_b 4.2803
_cell_length_c 5.1201
_cell_angle_alpha 90.00
_cell_angle_beta 90.00
_cell_angle_gamma 90.00
loop_
_atom_site_label
_atom_site_fract_x
_atom_site_fract_y
_atom_site_fract_z
Be1 0.0000 0.5000 0.0000
Tc1 0.0000 0.0000 0.0000
Bi1 0.0000 0.0000 0.5000
Mo1 0.5000 0.5000 0.5000

=====

Record 6
# BeBiTeMo2 PBE-GGA optimized geometry
# crystal system	tetragonal
# total DFT energy (no corrections)	-4.3747	eV/atom
# ΔE_f (raw)	2107.5	meV/atom
data_BeBiTeMo2
_chemical_formula_sum 'Be1 Bi1 Te1 Mo2'
_symmetry_space_group_name_H-M 'P 4/m m m'
_symmetry_Int_Tables_number 123
_symmetry_space_group_name_Hall '-P 4 2'
_cell_length_a 5.0307
_cell_length_b 5.0307
_cell_length_c 5.7465
_cell_angle_alpha 90.00
_cell_angle_beta 90.00
_cell_angle_gamma 90.00
loop_
_atom_site_label
_atom_site_fract_x
_atom_site_fract_y
_atom_site_fract_z
Be1 0.0000 0.0000 0.0000
Bi1 0.5000 0.5000 0.0000
Te1 0.5000 0.5000 0.5000
Mo1 0.0000 0.5000 0.5000

=====

Record 7
# Be2BiTeMo PBE-GGA optimized geometry
# crystal system	tetragonal
# total DFT energy (no corrections)	-3.9380	eV/atom
# ΔE_f (raw)	1123.3	meV/atom
data_Be2BiTeMo
_chemical_formula_sum 'Be2 Bi1 Te1 Mo1'
_symmetry_space_group_name_H-M 'P 4/m m m'
_symmetry_Int_Tables_number 123
_symmetry_space_group_name_Hall '-P 4 2'
_cell_length_a 4.6667
_cell_length_b 4.6667
_cell_length_c 5.3446
_cell_angle_alpha 90.00
_cell_angle_beta 90.00
_cell_angle_gamma 90.00
loop_
_atom_site_label
_atom_site_fract_x
_atom_site_fract_y
_atom_site_fract_z
Be1 0.0000 0.5000 0.0000
Bi1 0.0000 0.0000 0.5000
Te1 0.5000 0.5000 0.5000
Mo1 0.0000 0.0000 0.0000

=====

Record 8
# BeV2BiMo PBE-GGA optimized geometry
# crystal system	tetragonal
# total DFT energy (no corrections)	-6.7052	eV/atom
# DFT formation energy	0.630	eV per atom
data_BeV2BiMo
_chemical_formula_sum 'Be1 V2 Bi1 Mo1'
_symmetry_space_group_name_H-M 'P 4/m m m'
_symmetry_Int_Tables_number 123
_symmetry_space_group_name_Hall '-P 4 2'
_cell_length_a 4.3039
_cell_length_b 4.3039
_cell_length_c 4.3131
_cell_angle_alpha 90.00
_cell_angle_beta 90.00
_cell_angle_gamma 90.00
loop_
_atom_site_label
_atom_site_fract_x
_atom_site_fract_y
_atom_site_fract_z
Be1 0.0000 0.0000 0.0000
V1 0.0000 0.5000 0.0000
Bi1 0.5000 0.5000 0.5000
Mo1 0.0000 0.0000 0.5000

=====

Record 9
# Be2ZnBiMo PBE-GGA optimized geometry
# crystal system	tetragonal
# total DFT energy (no corrections)	-3.7428	eV/atom
# DFT formation energy	0.945	eV per atom
data_Be2ZnBiMo
_chemical_formula_sum 'Be2 Zn1 Bi1 Mo1'
_symmetry_space_group_name_H-M 'P 4/m m m'
_symmetry_Int_Tables_number 123
_symmetry_space_group_name_Hall '-P 4 2'
_cell_length_a 4.2274
_cell_length_b 4.2274
_cell_length_c 4.9160
_cell_angle_alpha 90.00
_cell_angle_beta 90.00
_cell_angle_gamma 90.00
loop_
_atom_site_label
_atom_site_fract_x
_atom_site_fract_y
_atom_site_fract_z
Be1 0.0000 0.5000 0.0000
Zn1 0.0000 0.0000 0.0000
Bi1 0.5000 0.5000 0.5000
Mo1 0.0000 0.0000 0.5000

=====

Record 10
# BeBiN2 PBE-GGA optimized geometry
# crystal system	cubic
# total DFT energy (no corrections)	-4.5948	eV/atom
# ΔE_f (raw)	1469.7	meV/atom
data_BeBiN2
_chemical_formula_sum 'Be4 Bi4 N8'
_symmetry_space_group_name_H-M 'F m -3 m'
_symmetry_Int_Tables_number 225
_symmetry_space_group_name_Hall '-F 4 2 3'
_cell_length_a 5.7570
_cell_length_b 5.7570
_cell_length_c 5.7570
_cell_angle_alpha 90.00
_cell_angle_beta 90.00
_cell_angle_gamma 90.00
loop_
_atom_site_label
_atom_site_fract_x
_atom_site_fract_y
_atom_site_fract_z
Be1 0.0000 0.0000 0.0000
Bi1 0.0000 0.0000 0.5000
N1 0.2500 0.2500 0.2500

=====

Record 11
# BeBiN2 PBE-GGA optimized geometry
# crystal system	tetragonal
# total DFT energy (no corrections)	-5.8047	eV/atom
# ΔE_f (raw)	259.8	meV/atom
data_BeBiN2
_chemical_formula_sum 'Be4 Bi4 N8'
_symmetry_space_group_name_H-M 'I -4 2 d'
_symmetry_Int_Tables_number 122
_symmetry_space_group_name_Hall 'I -4 2bw'
_cell_length_a 4.6760
_cell_length_b 4.6760
_cell_length_c 9.3201
_cell_angle_alpha 90.00
_cell_angle_beta 90.00
_cell_angle_gamma 90.00
loop_
_atom_site_label
_atom_site_fract_x
_atom_site_fract_y
_atom_site_fract_z
Be1 0.0000 0.0000 0.0000
Bi1 0.0000 0.0000 0.5000
N1 0.1558 0.2500 0.1250

=====

Record 12
# BeBiN2 PBE-GGA optimized geometry
# crystal system	trigonal
# total DFT energy (no corrections)	-5.7064	eV/atom
# ΔE_f (raw)	358.1	meV/atom
data_BeBiN2
_chemical_formula_sum 'Be3 Bi3 N6'
_symmetry_space_group_name_H-M 'R -3 m'
_symmetry_Int_Tables_number 166
_symmetry_space_group_name_Hall '-R 3 2"'
_cell_length_a 3.6169
_cell_length_b 3.6169
_cell_length_c 16.2792
_cell_angle_alpha 90.00
_cell_angle_beta 90.00
_cell_angle_gamma 120.00
loop_
_atom_site_label
_atom_site_fract_x
_atom_site_fract_y
_atom_site_fract_z
Be1 0.0000 0.0000 0.0000
Bi1 0.0000 0.0000 0.5000
N1 0.0000 0.0000 0.0942